# Cu6NiPd5, relaxed, DFT PBE
# spin magnetization: 0.62 μB per cell
# E_tot: -4.7570 eV per atom
# formation enthalpy at 0 K: -0.06 eV per atom
data_Cu6NiPd5
_chemical_formula_sum 'Cu6 Ni1 Pd5'
_space_group_name_H-M_alt 'P 1'
_space_group_IT_number 1
_cell_length_a 4.0318
_cell_length_b 6.6265
_cell_length_c 7.1709
_cell_angle_alpha 117.52
_cell_angle_beta 106.33
_cell_angle_gamma 90.00
loop_
_space_group_symop_operation_xyz
'x,y,z'
loop_
_atom_site_label
_atom_site_fract_x
_atom_site_fract_y
_atom_site_fract_z
Pd1 0.0000 0.5000 0.0000
Pd2 0.6663 0.6663 0.3325
Pd3 0.3339 0.8340 0.6679
Pd4 0.6660 0.1660 0.3321
Pd5 0.3337 0.3337 0.6675
Cu1 0.1629 0.9178 0.3258
Cu2 0.8371 0.5920 0.6742
Cu3 0.4999 0.7584 0.0000
Cu4 0.1629 0.4080 0.3258
Cu5 0.5001 0.2416 0.0000
Cu6 0.8371 0.0822 0.6742
Ni1 0.0000 0.0000 0.0000